i:
This record from the Alexandria database describes a geometry-optimized HfCo2SnH structure. The functional is PBE.

POSCAR file:
```
HfCo2SnH
1.0
-3.463 1.820 -0.921
-1.952 -2.403 2.591
0.620 2.669 2.941
Co Hf Sn H
2 1 1 1
Direct
0.000 0.000 0.500
0.500 0.000 0.000
0.500 0.500 0.500
0.000 0.500 0.000
0.000 0.000 0.000
```

Values from the calculation:
space group	P4/mmm, No. 123

***

ii:
This record from the Alexandria database describes a geometry-optimized HfCo2SnH structure. The functional is PBE.

POSCAR file:
```
HfCo2SnH
1.0
4.098 0.000 0.000
0.000 4.098 0.000
0.000 0.000 3.850
Co Hf Sn H
2 1 1 1
Direct
0.000 0.500 0.000
0.500 0.000 0.000
0.000 0.000 0.500
0.500 0.500 0.500
0.000 0.000 0.000
```

Values from the calculation:
space group	P4/mmm, No. 123

***

Quick one: most stable of them? ii

***

i:
This record from the Alexandria database describes a geometry-optimized Hf2VCoH structure. The functional is PBE.

POSCAR file:
```
Hf2VCoH
1.0
4.933 0.000 0.000
0.000 3.157 0.000
0.000 0.000 4.933
Co Hf H V
1 2 1 1
Direct
0.500 0.500 0.500
0.000 0.000 0.500
0.500 0.000 0.000
0.000 0.500 0.000
0.000 0.000 0.000
```

Values from the calculation:
space group	P4/mmm, No. 123

***

ii:
This record from the Alexandria database describes a geometry-optimized Hf2VCoH structure. The functional is PBE.

POSCAR file:
```
Hf2VCoH
1.0
-1.841 1.281 -3.884
-4.073 -0.194 1.867
0.278 3.272 0.947
Co Hf H V
1 2 1 1
Direct
0.500 0.500 0.500
0.000 0.500 0.000
0.500 0.000 0.000
0.000 0.000 0.000
0.000 0.000 0.500
```

Values from the calculation:
space group	P4/mmm, No. 123

***

Quick one: most stable of them? ii

***

i:
This record from the Alexandria database describes a geometry-optimized Co2HgH structure. The functional is PBE.

POSCAR file:
```
Co2HgH
1.0
0.000 2.941 2.941
2.941 0.000 2.941
2.941 2.941 0.000
H Co Hg
1 2 1
Direct
0.000 0.000 0.000
0.250 0.250 0.250
0.750 0.750 0.750
0.500 0.500 0.500
```

Values from the calculation:
space group	Fm-3m, No. 225

***

ii:
This record from the Alexandria database describes a geometry-optimized Co2HgH structure. The functional is PBE.

POSCAR file:
```
Co2HgH
1.0
-1.971 -2.280 -4.506
3.637 -3.996 0.431
-1.256 -4.848 -0.259
H Co Hg
2 4 2
Direct
0.500 0.500 0.000
0.250 0.750 0.500
0.453 0.125 0.250
0.297 0.625 0.250
0.375 0.547 0.750
0.875 0.703 0.750
0.000 0.000 0.000
0.750 0.250 0.500
```

Values from the calculation:
space group	I-42d, No. 122

***

Quick one: most stable of them? ii

***

i:
This record from the Alexandria database describes a geometry-optimized CoHg2H structure. The functional is PBE.

POSCAR file:
```
CoHg2H
1.0
-0.587 0.307 4.426
-3.297 -2.285 1.983
0.964 -3.489 2.632
H Co Hg
1 1 2
Direct
0.000 0.000 0.000
0.500 0.500 0.500
0.250 0.250 0.250
0.750 0.750 0.750
```

Values from the calculation:
space group	Fm-3m, No. 225

***

ii:
This record from the Alexandria database describes a geometry-optimized CoHg2H structure. The functional is PBE.

POSCAR file:
```
CoHg2H
1.0
-5.421 1.658 3.152
1.879 -3.544 5.097
-0.405 1.393 5.245
H Co Hg
2 2 4
Direct
0.500 0.500 0.000
0.250 0.750 0.500
0.000 0.000 0.000
0.750 0.250 0.500
0.565 0.125 0.250
0.185 0.625 0.250
0.375 0.435 0.750
0.875 0.815 0.750
```

Values from the calculation:
space group	I-42d, No. 122

***

Quick one: most stable of them? ii

***

i:
This record from the Alexandria database describes a geometry-optimized Co3HgH structure. The functional is PBE.

POSCAR file:
```
Co3HgH
1.0
-1.770 -4.560 0.050
3.205 -1.206 3.494
-3.245 1.297 3.424
H Co Hg
1 3 1
Direct
0.500 0.500 0.500
0.000 0.500 0.000
0.000 0.000 0.500
0.500 0.000 0.000
0.000 0.000 0.000
```

Values from the calculation:
space group	Pm-3m, No. 221

***

ii:
This record from the Alexandria database describes a geometry-optimized Co3HgH structure. The functional is PBE.

POSCAR file:
```
Co3HgH
1.0
-3.161 0.319 2.070
0.902 -3.175 1.866
1.890 2.048 2.571
H Co Hg
1 3 1
Direct
0.000 0.000 0.000
0.000 0.500 0.000
0.000 0.000 0.500
0.500 0.000 0.000
0.500 0.500 0.500
```

Values from the calculation:
space group	Pm-3m, No. 221

***

Quick one: most stable of them? ii

***

i:
This record from the Alexandria database describes a geometry-optimized CoHg3H structure. The functional is PBE.

POSCAR file:
```
CoHg3H
1.0
5.073 0.000 0.000
0.000 5.073 0.000
0.000 0.000 5.073
H Co Hg
1 1 3
Direct
0.500 0.500 0.500
0.000 0.000 0.000
0.000 0.500 0.000
0.000 0.000 0.500
0.500 0.000 0.000
```

Values from the calculation:
space group	Pm-3m, No. 221

***

ii:
This record from the Alexandria database describes a geometry-optimized CoHg3H structure. The functional is PBE.

POSCAR file:
```
CoHg3H
1.0
-0.056 2.907 3.312
-4.308 0.664 -0.656
-0.932 -3.245 2.833
H Co Hg
1 1 3
Direct
0.000 0.000 0.000
0.500 0.500 0.500
0.000 0.500 0.000
0.000 0.000 0.500
0.500 0.000 0.000
```

Values from the calculation:
space group	Pm-3m, No. 221

***

Quick one: most stable of them? i

***

i:
This record from the Alexandria database describes a geometry-optimized Ti2CoHgH structure. The functional is PBE.

POSCAR file:
```
Ti2CoHgH
1.0
5.126 0.000 0.000
0.000 3.275 0.000
0.000 0.000 5.126
H Co Hg Ti
1 1 1 2
Direct
0.000 0.500 0.000
0.500 0.500 0.500
0.000 0.000 0.000
0.000 0.000 0.500
0.500 0.000 0.000
```

Values from the calculation:
space group	P4/mmm, No. 123

***

ii:
This record from the Alexandria database describes a geometry-optimized Ti2CoHgH structure. The functional is PBE.

POSCAR file:
```
Ti2CoHgH
1.0
4.110 0.000 0.000
0.000 4.110 0.000
0.000 0.000 3.851
H Co Hg Ti
1 1 1 2
Direct
0.000 0.000 0.000
0.000 0.000 0.500
0.500 0.500 0.500
0.000 0.500 0.000
0.500 0.000 0.000
```

Values from the calculation:
space group	P4/mmm, No. 123

***

Quick one: most stable of them? ii